VASP calculation (PBE+U) on a relaxed structure of KCrTe2O6.

a = 7.842 Å, b = 7.842 Å, c = 8.194 Å
α = 110.31°, β = 110.31°, γ = 104.95°
Fractional coordinates of all 20 atoms:
K 0.083 0.917 0.750
K 0.917 0.083 0.250
Cr 0.212 0.788 0.250
Cr 0.788 0.212 0.750
Te 0.266 0.450 0.834
Te 0.450 0.266 0.334
Te 0.550 0.734 0.666
Te 0.734 0.550 0.166
O 0.008 0.771 0.331
O 0.197 0.598 0.017
O 0.229 0.992 0.169
O 0.310 0.376 0.455
O 0.376 0.310 0.955
O 0.402 0.803 0.483
O 0.598 0.197 0.517
O 0.624 0.690 0.045
O 0.690 0.624 0.545
O 0.771 0.008 0.831
O 0.803 0.402 0.983
O 0.992 0.229 0.669

The calculation puts the size of the total moment at 0.300 μB per atom. As for the energy: -57.30 eV per formula unit. For the calculated volume, the calculation gives 20.01 Å³ per atom.